The following is a DFT calculation (PBE) of crystalline BePdS at its relaxed geometry.

Cell and atoms, written as POSCAR:
```
BePdS
1.0
4.273 0.000 0.000
0.000 4.273 0.000
0.000 0.000 4.717
Be Pd S
2 2 2
direct
0.250 0.250 0.114
0.750 0.750 0.886
0.250 0.250 0.594
0.750 0.750 0.406
0.250 0.750 0.000
0.750 0.250 0.000
```

Density of states at the Fermi level in states/eV per cell: 2.51
Formation energy from raw total energies in eV per formula unit: 0.12
Space-group type: P4/nmm

***

The following is a DFT calculation (PBE) of crystalline LuScBePt at its relaxed geometry.

Cell and atoms, written as POSCAR:
```
LuScBePt
1.0
0.000 3.325 3.325
3.325 0.000 3.325
3.325 3.325 0.000
Lu Sc Be Pt
1 1 1 1
direct
0.000 0.000 0.000
0.500 0.500 0.500
0.250 0.250 0.250
0.750 0.750 0.750
```

DFT total energy in eV per atom: -5.781
Density of states at the Fermi level in states/eV per cell: 2.60
Space-group type: F-43m

***

The following is a DFT calculation (PBE) of crystalline Na9Hg2Pb at its relaxed geometry.

Cell and atoms, written as POSCAR:
```
Na9Hg2Pb
1.0
4.949 0.000 0.000
0.000 4.949 0.000
0.000 0.000 14.429
Na Hg Pb
9 2 1
direct
0.000 0.000 0.000
0.000 0.000 0.336
0.000 0.000 0.664
0.000 0.500 0.168
0.000 0.500 0.500
0.000 0.500 0.832
0.500 0.000 0.168
0.500 0.000 0.500
0.500 0.000 0.832
0.500 0.500 0.335
0.500 0.500 0.665
0.500 0.500 0.000
```

DFT total energy in eV per atom: -1.475
Density of states at the Fermi level in states/eV per cell: 4.31
Space-group type: P4/mmm